Entry 1:
This record from the Alexandria database describes a crystal of Rb3CrF6 relaxed with PBEsol. The functional is SCAN.

Summary:
- ρ (g cm⁻³) = 3.7
- uncorrected energy (eV/atom) = -13.24
- ΔE_f (raw) (eV per atom) = -3.058

Cell lengths 6.612, 6.612, 5.829 Å; angles 111.47, 111.47, 108.38 degrees
Atoms (fractional coordinates):
Rb1 0.000 0.000 0.000
Rb2 0.280 0.720 0.500
Rb3 0.720 0.280 0.500
Cr1 0.500 0.500 0.000
F1 0.178 0.428 0.952
F2 0.338 0.338 0.580
F3 0.428 0.178 0.952
F4 0.572 0.822 0.048
F5 0.662 0.662 0.420
F6 0.822 0.572 0.048

Entry 2:
This record from the Alexandria database describes a crystal of Be2Co relaxed with PBEsol. The functional is SCAN.

Summary:
- ρ (g cm⁻³) = 4.2
- uncorrected energy (eV/atom) = -8.59
- ΔE_f (eV/atom) = 0.0788

Cell lengths 3.528, 3.528, 2.451 Å; angles 90.00, 90.00, 90.00 degrees
Atoms (fractional coordinates):
Be1 0.000 0.500 0.000
Be2 0.500 0.000 0.000
Co1 0.000 0.000 0.500

Entry 3:
This record from the Alexandria database describes a crystal of YMn2PH relaxed with PBEsol. The functional is SCAN.

Summary:
- ρ (g cm⁻³) = 4.4
- uncorrected energy (eV/atom) = -14.66

Cell lengths 4.874, 4.874, 3.652 Å; angles 90.00, 90.00, 90.00 degrees
Atoms (fractional coordinates):
Y1 0.000 0.000 0.000
Mn1 0.000 0.500 0.000
Mn2 0.500 0.000 0.000
P1 0.500 0.500 0.500
H1 0.000 0.000 0.500

Entry 4:
This record from the Alexandria database describes a crystal of CrFe3 relaxed with PBEsol. The functional is SCAN.

Summary:
- ρ (g cm⁻³) = 9.0
- uncorrected energy (eV/atom) = -17.92
- ΔE_f (eV/atom) = 0.2688

Cell lengths 3.893, 4.891, 4.242 Å; angles 90.00, 90.00, 90.00 degrees
Atoms (fractional coordinates):
Cr1 0.250 0.250 0.162
Cr2 0.750 0.750 0.838
Fe1 0.250 0.000 0.665
Fe2 0.250 0.500 0.665
Fe3 0.250 0.750 0.170
Fe4 0.750 0.000 0.335
Fe5 0.750 0.250 0.830
Fe6 0.750 0.500 0.335

Entry 5:
This record from the Alexandria database describes a crystal of UNiSb2 relaxed with PBEsol. The functional is SCAN.

Summary:
- ρ (g cm⁻³) = 11.0
- uncorrected energy (eV/atom) = -48.81
- ΔE_f (raw) (eV per atom) = -0.255

Cell lengths 4.296, 4.296, 8.877 Å; angles 90.00, 90.00, 90.00 degrees
Atoms (fractional coordinates):
U1 0.250 0.250 0.229
U2 0.750 0.750 0.771
Ni1 0.250 0.750 0.000
Ni2 0.750 0.250 0.000
Sb1 0.250 0.250 0.838
Sb2 0.250 0.750 0.500
Sb3 0.750 0.250 0.500
Sb4 0.750 0.750 0.162

Entry 6:
This record from the Alexandria database describes a crystal of YFe2TeC relaxed with PBEsol. The functional is SCAN.

Summary:
- ρ (g cm⁻³) = 5.6
- uncorrected energy (eV/atom) = -20.36
- ΔE_f (raw) (eV per atom) = 1.929

Cell lengths 4.877, 4.877, 4.259 Å; angles 90.00, 90.00, 90.00 degrees
Atoms (fractional coordinates):
Y1 0.000 0.000 0.000
Fe1 0.000 0.500 0.000
Fe2 0.500 0.000 0.000
Te1 0.500 0.500 0.500
C1 0.000 0.000 0.500

Entry 7:
This record from the Alexandria database describes a crystal of Mg16Al12Pt relaxed with PBEsol. The functional is SCAN.

Summary:
- ρ (g cm⁻³) = 2.7
- uncorrected energy (eV/atom) = -8.49
- ΔE_f (eV/atom) = -0.1199

Cell lengths 8.943, 8.943, 8.978 Å; angles 109.24, 109.24, 108.85 degrees
Atoms (fractional coordinates):
Mg1 0.000 0.000 0.000
Mg2 0.004 0.322 0.606
Mg3 0.008 0.359 0.002
Mg4 0.011 0.606 0.329
Mg5 0.015 0.015 0.359
Mg6 0.302 0.681 0.696
Mg7 0.322 0.004 0.606
Mg8 0.338 0.586 0.989
Mg9 0.359 0.008 0.002
Mg10 0.412 0.719 0.409
Mg11 0.586 0.338 0.989
Mg12 0.606 0.011 0.329
Mg13 0.619 0.619 0.674
Mg14 0.681 0.302 0.696
Mg15 0.699 0.699 0.303
Mg16 0.719 0.412 0.409
Al1 0.007 0.819 0.645
Al2 0.011 0.638 0.827
Al3 0.189 0.189 0.813
Al4 0.189 0.374 0.375
Al5 0.204 0.824 0.193
Al6 0.367 0.367 0.179
Al7 0.374 0.189 0.375
Al8 0.638 0.011 0.827
Al9 0.655 0.839 0.026
Al10 0.819 0.007 0.645
Al11 0.824 0.204 0.193
Al12 0.839 0.655 0.026
Pt1 0.328 0.328 0.650

Entry 8:
This record from the Alexandria database describes a crystal of RbTlCl2 relaxed with PBEsol. The functional is SCAN.

Summary:
- ρ (g cm⁻³) = 3.3
- uncorrected energy (eV/atom) = -28.75
- ΔE_f (raw) (eV per atom) = -1.482

Cell lengths 8.756, 8.756, 8.756 Å; angles 132.11, 132.11, 70.05 degrees
Atoms (fractional coordinates):
Rb1 0.000 0.000 0.000
Rb2 0.750 0.250 0.500
Tl1 0.250 0.750 0.500
Tl2 0.500 0.500 0.000
Cl1 0.140 0.625 0.015
Cl2 0.375 0.390 0.515
Cl3 0.610 0.125 0.985
Cl4 0.875 0.860 0.485